Model one:
## RbSc2I (GGA-PBE)

Data for RbSc2I after structural relaxation.

a = 11.922 Å, b = 11.922 Å, c = 11.922 Å
α = 17.55°, β = 17.55°, γ = 17.55°
Site moments in Bohr magnetons follow the coordinates.
Fractional coordinates of all 4 atoms:
Sc (0.102, 0.102, 0.102)  0.46
Sc (0.898, 0.898, 0.898)  0.46
I (0.500, 0.500, 0.500)  0.00
Rb (0.000, 0.000, 0.000)  0.01

## Properties
For the volume, the calculation gives 33.6 A^3/atom.

=====

Model two:
## RbSc2I (GGA-PBE)

Data for RbSc2I after structural relaxation.

a = 5.518 Å, b = 5.518 Å, c = 5.518 Å
α = 60.00°, β = 60.00°, γ = 60.00°
Fractional coordinates of all 4 atoms:
I (0.500, 0.500, 0.500)
Sc (0.750, 0.750, 0.750)
Sc (0.250, 0.250, 0.250)
Rb (0.000, 0.000, 0.000)

## Properties
For the volume, the calculation gives 29.7 A^3/atom.

=====

model one comes first in stability; the runner-up is 404 meV/atom higher.

=====

Model one:
## Rb2ScI4 (GGA-PBE)

Data for Rb2ScI4 after structural relaxation.

a = 5.843 Å, b = 5.843 Å, c = 10.200 Å
α = 106.64°, β = 106.64°, γ = 90.00°
Site moments in Bohr magnetons follow the coordinates.
Fractional coordinates of all 7 atoms:
Sc (0.000, 0.000, 0.000)  0.68
I (0.500, 0.000, 0.000)  -0.01
I (0.838, 0.838, 0.676)  0.00
I (0.162, 0.162, 0.324)  0.00
I (0.000, 0.500, 0.000)  -0.01
Rb (0.641, 0.641, 0.281)  0.00
Rb (0.359, 0.359, 0.719)  0.00

## Properties
For the volume, the calculation gives 45.5 A^3/atom.

=====

Model two:
## Rb2ScI4 (GGA-PBE)

Data for Rb2ScI4 after structural relaxation.

a = 8.637 Å, b = 8.404 Å, c = 10.179 Å
α = 90.00°, β = 107.75°, γ = 90.00°
Site moments in Bohr magnetons follow the coordinates.
Fractional coordinates of all 14 atoms:
I (0.070, 0.750, 0.378)  0.00
I (0.492, 0.001, 0.255)  0.00
I (0.069, 0.750, 0.911)  0.00
I (0.508, 0.501, 0.745)  0.00
I (0.508, 0.999, 0.745)  0.00
I (0.930, 0.250, 0.622)  0.00
I (0.931, 0.250, 0.089)  0.00
I (0.492, 0.499, 0.255)  0.00
Rb (0.719, 0.750, 0.057)  0.00
Rb (0.281, 0.250, 0.943)  0.00
Rb (0.247, 0.250, 0.439)  0.00
Rb (0.753, 0.750, 0.561)  0.00
Sc (0.742, 0.250, 0.807)  0.73
Sc (0.258, 0.750, 0.193)  0.73

## Properties
For the volume, the calculation gives 50.3 A^3/atom.

=====

model one comes first in stability; the runner-up is 53 meV/atom higher.

=====

Model one:
## RbSe2I (GGA-PBE)

Data for RbSe2I after structural relaxation.

a = 6.836 Å, b = 6.836 Å, c = 9.364 Å
α = 68.59°, β = 68.59°, γ = 90.00°
Fractional coordinates of all 8 atoms:
Se (0.375, 0.259, 0.750)
Se (0.009, 0.625, 0.250)
Se (0.741, 0.125, 0.250)
Se (0.875, 0.991, 0.750)
Rb (0.250, 0.750, 0.500)
Rb (0.500, 0.500, 0.000)
I (0.000, 0.000, 0.000)
I (0.750, 0.250, 0.500)

## Properties
For the volume, the calculation gives 46.8 A^3/atom.

=====

Model two:
## RbSe2I (GGA-PBE)

Data for RbSe2I after structural relaxation.

a = 5.858 Å, b = 13.326 Å, c = 11.996 Å
α = 125.82°, β = 90.00°, γ = 90.00°
Fractional coordinates of all 16 atoms:
Rb (0.979, 0.721, 0.556)
Rb (0.021, 0.279, 0.444)
Rb (0.521, 0.221, 0.056)
Rb (0.479, 0.779, 0.944)
I (0.975, 0.593, 0.759)
I (0.475, 0.907, 0.741)
I (0.025, 0.407, 0.241)
I (0.525, 0.093, 0.259)
Se (0.625, 0.830, 0.384)
Se (0.374, 0.657, 0.263)
Se (0.875, 0.330, 0.884)
Se (0.626, 0.343, 0.737)
Se (0.874, 0.843, 0.237)
Se (0.125, 0.670, 0.116)
Se (0.126, 0.157, 0.763)
Se (0.375, 0.170, 0.616)

## Properties
For the volume, the calculation gives 47.5 A^3/atom.

=====

Model three:
## RbSe2I (GGA-PBE)

Data for RbSe2I after structural relaxation.

a = 10.203 Å, b = 10.203 Å, c = 10.203 Å
α = 25.38°, β = 25.38°, γ = 25.38°
Fractional coordinates of all 4 atoms:
Se (0.089, 0.089, 0.089)
Se (0.911, 0.911, 0.911)
I (0.000, 0.000, 0.000)
Rb (0.500, 0.500, 0.500)

## Properties
For the volume, the calculation gives 42.9 A^3/atom.

=====

Model four:
## RbSe2I (GGA-PBE)

Data for RbSe2I after structural relaxation.

a = 6.739 Å, b = 6.739 Å, c = 6.739 Å
α = 46.64°, β = 46.64°, γ = 46.64°
Fractional coordinates of all 4 atoms:
Rb (0.000, 0.000, 0.000)
I (0.500, 0.500, 0.500)
Se (0.816, 0.816, 0.816)
Se (0.184, 0.184, 0.184)

## Properties
For the volume, the calculation gives 36.9 A^3/atom.

=====

model two comes first in stability; the runner-up is 520 meV/atom higher.

=====

Model one:
## Rb2Se2I (GGA-PBE)

Data for Rb2Se2I after structural relaxation.

a = 8.369 Å, b = 8.369 Å, c = 5.079 Å
α = 90.00°, β = 90.00°, γ = 90.00°
Fractional coordinates of all 10 atoms:
Se (0.671, 0.171, 0.000)
Se (0.829, 0.671, 0.000)
Se (0.171, 0.329, 0.000)
Se (0.329, 0.829, 0.000)
Rb (0.854, 0.354, 0.500)
Rb (0.354, 0.146, 0.500)
Rb (0.646, 0.854, 0.500)
Rb (0.146, 0.646, 0.500)
I (0.000, 0.000, 0.000)
I (0.500, 0.500, 0.000)

## Properties
For the volume, the calculation gives 35.6 A^3/atom.

=====

Model two:
## Rb2Se2I (GGA-PBE)

Data for Rb2Se2I after structural relaxation.

a = 4.161 Å, b = 4.161 Å, c = 10.629 Å
α = 78.71°, β = 78.71°, γ = 90.00°
Fractional coordinates of all 5 atoms:
Se (0.250, 0.750, 0.500)
Se (0.750, 0.250, 0.500)
I (0.000, 0.000, 0.000)
Rb (0.611, 0.611, 0.778)
Rb (0.389, 0.389, 0.222)

## Properties
For the volume, the calculation gives 35.4 A^3/atom.

=====

model two comes first in stability; the runner-up is 271 meV/atom higher.